1.
{"formula": "LiCdCuO3", "functional": "PBE-GGA", "state": "relaxed", "energy_ev_per_atom": -4.472, "density_g_cm3": 5.373, "magnetic_moment_mub_per_cell": 0.0, "formation_energy_uncorrected_ev_per_fu": -5.03, "space_group": "Cmcm", "lattice_angstrom": [[-1.1402, 2.3197, -4.4848], [-1.1253, -4.3786, -1.9786], [-4.7357, 2.7996, 2.6521]], "species": ["Cd", "Cd", "Cu", "Cu", "O", "O", "O", "O", "O", "O", "Li", "Li"], "frac_coords": [[0.2500, 0.7301, 0.4602], [0.7500, 0.2699, 0.5398], [0.7500, 0.9829, 0.9658], [0.2500, 0.0171, 0.0342], [0.5000, 0.7452, 0.0000], [0.0000, 0.2548, 0.0000], [0.5000, 0.2548, 0.0000], [0.0000, 0.7452, 0.0000], [0.2500, 0.2463, 0.4925], [0.7500, 0.7537, 0.5075], [0.2500, 0.4182, 0.8364], [0.7500, 0.5818, 0.1636]]}



2.
{"formula": "ErTiAl2", "functional": "PBE-GGA", "state": "relaxed", "energy_ev_per_atom": -5.048, "ef_ev_per_atom": -0.06, "density_g_cm3": 5.513, "magnetic_moment_mub_per_cell": 0.3, "space_group": "R-3m", "lattice_angstrom": [[3.1565, 0.0000, 0.0000], [1.5782, 2.7336, 0.0000], [1.5782, 0.9112, 9.3937]], "species": ["Al", "Al", "Er", "Ti"], "frac_coords": [[0.7425, 0.7425, 0.7725], [0.2575, 0.2575, 0.2275], [0.5000, 0.5000, 0.5000], [0.0000, 0.0000, 0.0000]]}



3.
{"formula": "TaCrCoH2", "functional": "PBE-GGA", "state": "relaxed", "energy_ev_per_atom": -6.178, "density_g_cm3": 8.416, "magnetic_moment_mub_per_cell": 1.9, "space_group": "P4/mmm", "lattice_angstrom": [[-0.4121, 1.4382, -3.1046], [-1.1201, -4.3668, -1.8742], [-3.3289, 0.5541, 0.6986]], "species": ["H", "H", "Co", "Cr", "Ta"], "frac_coords": [[0.0000, 0.0000, 0.5000], [0.5000, 0.0000, 0.0000], [0.5000, 0.5000, 0.5000], [0.0000, 0.5000, 0.0000], [0.0000, 0.0000, 0.0000]]}



4.
{"formula": "TlPb4", "functional": "PBE-GGA", "state": "relaxed", "energy_ev_per_atom": -3.440, "ef_ev_per_atom": 0.00, "density_g_cm3": 10.847, "magnetic_moment_mub_per_cell": 0.0, "space_group": "Immm", "lattice_angstrom": [[3.5611, 0.0000, -0.6800], [-0.2467, 4.6265, -1.2917], [-0.0209, 0.1667, 9.5555]], "species": ["Pb", "Pb", "Pb", "Pb", "Tl"], "frac_coords": [[0.8018, 0.8018, 0.6035], [0.6021, 0.6021, 0.2042], [0.3979, 0.3979, 0.7958], [0.1982, 0.1982, 0.3965], [0.0000, 0.0000, 0.0000]]}



5.
{"formula": "RbPbCl2", "functional": "PBE-GGA", "state": "relaxed", "energy_ev_per_atom": -3.108, "density_g_cm3": 3.464, "magnetic_moment_mub_per_cell": 1.9, "formation_energy_uncorrected_ev_per_fu": -4.06, "space_group": "I-42d", "lattice_angstrom": [[6.3626, 0.0000, 0.0000], [0.0000, 6.3626, 0.0000], [3.1813, 3.1813, 8.6094]], "species": ["Cl", "Cl", "Cl", "Cl", "Rb", "Rb", "Pb", "Pb"], "frac_coords": [[0.8750, 0.9197, 0.7500], [0.0803, 0.6250, 0.2500], [0.3750, 0.3303, 0.7500], [0.6697, 0.1250, 0.2500], [0.2500, 0.7500, 0.5000], [0.5000, 0.5000, 0.0000], [0.0000, 0.0000, 0.0000], [0.7500, 0.2500, 0.5000]]}



6.
{"formula": "YPaSi2O8", "functional": "PBE-GGA", "state": "relaxed", "energy_ev_per_atom": -8.782, "density_g_cm3": 5.537, "magnetic_moment_mub_per_cell": 0.0, "formation_energy_uncorrected_ev_per_fu": -38.91, "space_group": "I-4m2", "lattice_angstrom": [[-3.9255, 1.2134, 4.1360], [2.5086, -5.2500, 0.3644], [4.2767, 3.9196, 0.5785]], "species": ["Si", "Si", "Pa", "O", "O", "O", "O", "O", "O", "O", "O", "Y"], "frac_coords": [[0.7500, 0.2500, 0.5000], [0.5000, 0.5000, 0.0000], [0.0000, 0.0000, 0.0000], [0.8520, 0.6751, 0.1769], [0.3249, 0.5018, 0.1769], [0.7653, 0.0821, 0.6832], [0.4982, 0.6751, 0.8231], [0.9179, 0.2347, 0.3168], [0.9179, 0.6011, 0.6832], [0.3989, 0.0821, 0.3168], [0.3249, 0.1480, 0.8231], [0.2500, 0.7500, 0.5000]]}



7.
{"formula": "ScTcPb2", "functional": "PBE-GGA", "state": "relaxed", "energy_ev_per_atom": -5.673, "ef_ev_per_atom": 0.36, "density_g_cm3": 10.212, "magnetic_moment_mub_per_cell": 0.0, "space_group": "Cmmm", "lattice_angstrom": [[-0.5704, 1.8719, -2.6388], [2.4306, -2.1956, -0.2525], [-6.0972, -6.3807, -3.2084]], "species": ["Sc", "Pb", "Pb", "Tc"], "frac_coords": [[0.5000, 0.5000, 0.2500], [0.0000, 0.0000, 0.9821], [0.0000, 0.0000, 0.5179], [0.5000, 0.5000, 0.7500]]}



8.
{"formula": "TcSbO", "functional": "PBE-GGA", "state": "relaxed", "energy_ev_per_atom": -6.825, "density_g_cm3": 8.165, "magnetic_moment_mub_per_cell": 0.0, "formation_energy_uncorrected_ev_per_fu": -1.03, "space_group": "P2_1", "lattice_angstrom": [[5.9248, 0.0000, 0.0000], [0.0000, 5.9162, 0.0270], [0.0000, -2.5448, 5.4598]], "species": ["Sb", "Sb", "Sb", "Sb", "O", "O", "O", "O", "Tc", "Tc", "Tc", "Tc"], "frac_coords": [[0.1147, 0.8443, 0.3919], [0.6150, 0.6811, 0.0609], [0.1150, 0.3189, 0.9391], [0.6147, 0.1557, 0.6081], [0.3843, 0.3178, 0.4371], [0.8843, 0.6822, 0.5629], [0.3816, 0.8302, 0.8897], [0.8816, 0.1698, 0.1103], [0.4969, 0.6746, 0.4686], [0.0113, 0.7379, 0.9182], [0.9969, 0.3254, 0.5314], [0.5113, 0.2621, 0.0818]]}



9.
{"formula": "Dy2Mn2BC2", "functional": "PBE-GGA", "state": "relaxed", "energy_ev_per_atom": -7.732, "ef_ev_per_atom": -0.21, "density_g_cm3": 8.440, "magnetic_moment_mub_per_cell": 0.3, "space_group": "C2/m", "lattice_angstrom": [[-2.8454, -1.6258, -1.2010], [0.8862, -5.3183, 0.0283], [-2.5643, -2.5314, 4.4302]], "species": ["Dy", "Dy", "Mn", "Mn", "C", "C", "B"], "frac_coords": [[0.5760, 0.1844, 0.6636], [0.4240, 0.8156, 0.3364], [0.7915, 0.3290, 0.0879], [0.2085, 0.6710, 0.9121], [0.1986, 0.3643, 0.2386], [0.8014, 0.6357, 0.7614], [0.0000, 0.0000, 0.0000]]}



10.
{"formula": "Nd3Ho4Tm2", "functional": "PBE-GGA", "state": "relaxed", "energy_ev_per_atom": -4.515, "ef_ev_per_atom": 0.10, "density_g_cm3": 8.221, "magnetic_moment_mub_per_cell": 0.0, "space_group": "C2/c", "lattice_angstrom": [[5.7177, 1.5704, 1.1244], [2.0373, 11.0060, 0.7198], [2.0373, 4.2276, 10.1871]], "species": ["Nd", "Nd", "Nd", "Nd", "Nd", "Nd", "Tm", "Tm", "Tm", "Tm", "Ho", "Ho", "Ho", "Ho", "Ho", "Ho", "Ho", "Ho"], "frac_coords": [[0.7500, 0.3947, 0.6053], [0.2512, 0.9404, 0.7256], [0.7488, 0.0596, 0.2744], [0.7512, 0.7256, 0.9404], [0.2488, 0.2744, 0.0596], [0.2500, 0.6053, 0.3947], [0.9179, 0.5178, 0.2507], [0.4179, 0.2507, 0.5178], [0.0821, 0.4822, 0.7493], [0.5821, 0.7493, 0.4822], [0.5763, 0.4148, 0.1537], [0.4205, 0.9170, 0.1825], [0.9205, 0.1825, 0.9170], [0.4237, 0.5852, 0.8463], [0.0795, 0.8175, 0.0830], [0.9237, 0.8463, 0.5852], [0.5795, 0.0830, 0.8175], [0.0763, 0.1537, 0.4148]]}



11.
{"formula": "La2InTe", "functional": "PBE-GGA", "state": "relaxed", "energy_ev_per_atom": -4.981, "density_g_cm3": 6.411, "magnetic_moment_mub_per_cell": 0.0, "formation_energy_uncorrected_ev_per_fu": -4.19, "space_group": "Cmcm", "lattice_angstrom": [[-3.9090, 1.9455, 1.2458], [-1.4865, -0.1160, -4.4832], [-4.2795, -11.2885, 4.2005]], "species": ["Te", "Te", "La", "La", "La", "La", "In", "In"], "frac_coords": [[0.7500, 0.8082, 0.6165], [0.2500, 0.1918, 0.3835], [0.2500, 0.3202, 0.6404], [0.2500, 0.0648, 0.1295], [0.7500, 0.6798, 0.3596], [0.7500, 0.9352, 0.8705], [0.2500, 0.4593, 0.9187], [0.7500, 0.5407, 0.0813]]}



12.
{"formula": "SiBi2As2", "functional": "PBE-GGA", "state": "relaxed", "energy_ev_per_atom": -4.104, "density_g_cm3": 7.914, "magnetic_moment_mub_per_cell": 0.0, "formation_energy_uncorrected_ev_per_fu": 1.97, "space_group": "P4/mbm", "lattice_angstrom": [[-0.9361, -3.0294, 7.0655], [7.6857, -0.5224, 0.7943], [0.0893, 3.8271, 1.6527]], "species": ["As", "As", "As", "As", "Si", "Si", "Bi", "Bi", "Bi", "Bi"], "frac_coords": [[0.8355, 0.6645, 0.0000], [0.6645, 0.1645, 0.0000], [0.3355, 0.8355, 0.0000], [0.1645, 0.3355, 0.0000], [0.5000, 0.5000, 0.0000], [0.0000, 0.0000, 0.0000], [0.8448, 0.3448, 0.5000], [0.3448, 0.1552, 0.5000], [0.6552, 0.8448, 0.5000], [0.1552, 0.6552, 0.5000]]}



13.
{"formula": "Pr2TlAs", "functional": "PBE-GGA", "state": "relaxed", "energy_ev_per_atom": -5.045, "ef_ev_per_atom": -0.90, "density_g_cm3": 7.498, "magnetic_moment_mub_per_cell": 0.0, "space_group": "R-3m", "lattice_angstrom": [[-1.3369, 1.7450, 3.5956], [-0.5694, -2.3951, 3.4205], [7.0237, 1.1101, 4.5427]], "species": ["Pr", "Pr", "Tl", "As"], "frac_coords": [[0.2621, 0.2621, 0.2137], [0.7379, 0.7379, 0.7863], [0.5000, 0.5000, 0.5000], [0.0000, 0.0000, 0.0000]]}



14.
{"formula": "SnH2O2", "functional": "PBE-GGA", "state": "relaxed", "energy_ev_per_atom": -4.524, "density_g_cm3": 3.651, "magnetic_moment_mub_per_cell": 0.0, "space_group": "C2/m", "lattice_angstrom": [[2.9917, 0.0000, 0.0000], [1.4958, 2.8334, 0.3234], [1.4958, 0.0046, 8.1949]], "species": ["H", "H", "Sn", "O", "O"], "frac_coords": [[0.2499, 0.0002, 0.4999], [0.7501, 0.9998, 0.5001], [0.0000, 0.0000, 0.0000], [0.6254, 0.6193, 0.1300], [0.3746, 0.3807, 0.8700]]}



15.
{"formula": "KLi2LaIr", "functional": "PBE-GGA", "state": "relaxed", "energy_ev_per_atom": -3.720, "ef_ev_per_atom": 0.02, "density_g_cm3": 4.161, "magnetic_moment_mub_per_cell": 0.0, "space_group": "P4/mmm", "lattice_angstrom": [[-4.1920, -2.9549, -1.6772], [3.0377, -4.4527, 0.2525], [-1.4852, -0.7298, 4.9980]], "species": ["K", "Li", "Li", "Ir", "La"], "frac_coords": [[0.5000, 0.5000, 0.5000], [0.0000, 0.5000, 0.0000], [0.5000, 0.0000, 0.0000], [0.0000, 0.0000, 0.0000], [0.0000, 0.0000, 0.5000]]}



16.
{"formula": "RbBeOs3", "functional": "PBE-GGA", "state": "relaxed", "energy_ev_per_atom": -3.321, "ef_ev_per_atom": 4.36, "density_g_cm3": 10.454, "magnetic_moment_mub_per_cell": 2.2, "space_group": "Pm-3m", "lattice_angstrom": [[-3.2349, 3.3520, -0.8058], [-2.3395, -1.3229, 3.8892], [2.5321, 3.0600, 2.5640]], "species": ["Os", "Os", "Os", "Rb", "Be"], "frac_coords": [[0.5000, 0.0000, 0.0000], [0.0000, 0.0000, 0.5000], [0.0000, 0.5000, 0.0000], [0.0000, 0.0000, 0.0000], [0.5000, 0.5000, 0.5000]]}



17.
{"formula": "SmHoHf", "functional": "PBE-GGA", "state": "relaxed", "energy_ev_per_atom": -6.285, "ef_ev_per_atom": 0.13, "density_g_cm3": 9.637, "magnetic_moment_mub_per_cell": 0.0, "space_group": "I4mm", "lattice_angstrom": [[-1.1007, 1.6952, -2.6883], [1.2863, -2.3639, -2.0173], [-6.5915, -3.4409, 2.6331]], "species": ["Sm", "Ho", "Hf"], "frac_coords": [[0.9894, 0.9894, 0.9788], [0.6801, 0.6801, 0.3601], [0.3305, 0.3305, 0.6611]]}



18.
{"formula": "SrTbZn", "functional": "PBE-GGA", "state": "relaxed", "energy_ev_per_atom": -2.639, "ef_ev_per_atom": -0.11, "density_g_cm3": 5.303, "magnetic_moment_mub_per_cell": 0.0, "space_group": "P4/nmm", "lattice_angstrom": [[4.9699, 0.0000, 0.0000], [0.0000, 4.9699, 0.0000], [0.0000, 0.0000, 7.9097]], "species": ["Zn", "Zn", "Tb", "Tb", "Sr", "Sr"], "frac_coords": [[0.0000, 0.5000, 0.2830], [0.5000, 0.0000, 0.7170], [0.0000, 0.0000, 0.5000], [0.5000, 0.5000, 0.5000], [0.5000, 0.0000, 0.1349], [0.0000, 0.5000, 0.8651]]}



19.
{"formula": "BaMn2Pb", "functional": "PBE-GGA", "state": "relaxed", "energy_ev_per_atom": -5.467, "ef_ev_per_atom": 0.53, "density_g_cm3": 6.685, "magnetic_moment_mub_per_cell": 8.0, "space_group": "P2/m", "lattice_angstrom": [[-2.6371, 2.4656, -3.2578], [-0.9342, -2.9888, -1.5058], [-5.6252, -1.3504, 3.5314]], "species": ["Mn", "Mn", "Ba", "Pb"], "frac_coords": [[0.0000, 0.4486, 0.4175], [0.0000, 0.0514, 0.0825], [0.5000, 0.7500, 0.7500], [0.5000, 0.2500, 0.2500]]}



20.
{"formula": "FeSnS", "functional": "PBE-GGA", "state": "relaxed", "energy_ev_per_atom": -5.635, "density_g_cm3": 5.999, "magnetic_moment_mub_per_cell": 3.2, "formation_energy_uncorrected_ev_per_fu": -0.31, "space_group": "Cm", "lattice_angstrom": [[-1.6873, -2.7162, -0.3512], [3.0472, -3.4044, -3.0617], [4.0742, -3.1405, 4.6929]], "species": ["Fe", "Fe", "Sn", "Sn", "S", "S"], "frac_coords": [[0.1243, 0.5944, 0.1899], [0.3862, 0.0718, 0.2428], [0.4636, 0.9163, 0.9039], [0.7634, 0.3166, 0.5075], [0.0108, 0.8222, 0.4225], [0.7447, 0.3549, 0.0587]]}